No. 1
Below is an optimized crystal structure of Rb2LaZnFe, with properties calculated at the PBE level.

Geometry as extended XYZ:
```
5
Lattice="6.258 0.000 0.000 0.000 6.258 0.000 0.000 0.000 4.711" Properties=species:S:1:pos:R:3 pbc="T T T"
Rb 0.000 3.129 0.000
Rb 3.129 0.000 0.000
La 0.000 0.000 2.356
Zn 3.129 3.129 0.000
Fe 3.129 3.129 2.356
```

Summary:
SG ... P4/mmm (123)
Uncorrected energy ... -2.30 eV per atom
Crystal system ... tetragonal
Energy of formation from the pure elements ... 5.09 eV/f.u.
Magnetic moment ... 2.477 μB/cell

No. 2
Below is an optimized crystal structure of RbLa2ZrFe, with properties calculated at the PBE level.

Geometry as extended XYZ:
```
5
Lattice="5.333 0.000 0.000 0.000 5.333 0.000 0.000 0.000 5.944" Properties=species:S:1:pos:R:3 pbc="T T T"
Rb 0.000 0.000 0.000
La 0.000 2.667 2.972
La 2.667 0.000 2.972
Zr 2.667 2.667 0.000
Fe 0.000 0.000 2.972
```

Summary:
SG ... P4/mmm (123)
Uncorrected energy ... -4.62 eV per atom
Crystal system ... tetragonal
Energy of formation from the pure elements ... 4.75 eV/f.u.
Magnetic moment ... 3.400 μB/cell

No. 3
Below is an optimized crystal structure of LaFeRe2, with properties calculated at the PBE level.

Geometry as extended XYZ:
```
4
Lattice="-1.568 2.541 4.663 1.568 -2.541 4.663 1.568 2.541 -4.663" Properties=species:S:1:pos:R:3 pbc="T T T"
La 0.000 0.000 0.000
Fe 0.000 2.541 2.011
Re 1.568 0.000 2.636
Re 0.000 0.000 4.630
```

Summary:
SG ... Imm2 (44)
Uncorrected energy ... -8.88 eV per atom
Crystal system ... orthorhombic
Relative energy among the computed polymorphs ... 460 meV/atom
Energy of formation from the pure elements ... 2.77 eV/f.u.
Magnetic moment ... 2.059 μB/cell